Compound: AcDyHo
Source: Alexandria via LeMat-Bulk
Functional: GGA-PBE
Structure: optimized geometry

a = 3.724 Å, b = 3.724 Å, c = 15.327 Å
α = 90.00°, β = 90.00°, γ = 90.00°
Fractional positions:
Ac 0.000 0.000 0.000
Ac 0.500 0.500 0.500
Dy 0.000 0.000 0.673
Dy 0.500 0.500 0.173
Ho 0.000 0.000 0.327
Ho 0.500 0.500 0.827

## Properties
Energy relative to the lowest polymorph listed for this composition in eV/atom: 0.000
D(E_F) in states/eV/f.u.: 4.01
Magnetic moment in μB/f.u.: 0.00
Energy of formation from the pure elements in eV/f.u.: 0.19
Total energy in eV for the cell shown: -26.20

Compound: Ac5DyHo
Source: Alexandria via LeMat-Bulk
Functional: GGA-PBE
Structure: optimized geometry

a = 12.670 Å, b = 12.670 Å, c = 7.201 Å
α = 93.19°, β = 93.19°, γ = 148.51°
Fractional positions:
Ac 0.139 0.861 0.750
Ac 0.187 0.283 0.656
Ac 0.273 0.678 0.500
Ac 0.283 0.187 0.156
Ac 0.322 0.727 0.000
Ac 0.678 0.273 0.000
Ac 0.717 0.813 0.844
Ac 0.727 0.322 0.500
Ac 0.813 0.717 0.344
Ac 0.861 0.139 0.250
Dy 0.171 0.829 0.250
Dy 0.829 0.171 0.750
Ho 0.421 0.579 0.250
Ho 0.579 0.421 0.750

## Properties
D(E_F) in states/eV/f.u.: 10.60
Magnetic moment in μB/f.u.: 0.00
Energy of formation from the pure elements in eV/f.u.: 1.68
Total energy in eV for the cell shown: -56.09

Compound: AcDy5Ho3
Source: Alexandria via LeMat-Bulk
Functional: GGA-PBE
Structure: optimized geometry

a = 9.036 Å, b = 9.036 Å, c = 9.017 Å
α = 114.01°, β = 114.01°, γ = 65.58°
Fractional positions:
Ac 0.072 0.928 0.750
Ac 0.928 0.072 0.250
Dy 0.096 0.261 0.100
Dy 0.247 0.428 0.926
Dy 0.261 0.096 0.600
Dy 0.420 0.580 0.750
Dy 0.428 0.247 0.426
Dy 0.572 0.753 0.574
Dy 0.580 0.420 0.250
Dy 0.739 0.904 0.400
Dy 0.753 0.572 0.074
Dy 0.904 0.739 0.900
Ho 0.000 0.500 0.500
Ho 0.175 0.656 0.333
Ho 0.344 0.825 0.167
Ho 0.500 0.000 0.000
Ho 0.656 0.175 0.833
Ho 0.825 0.344 0.667

## Properties
Energy relative to the lowest polymorph listed for this composition in eV/atom: 0.000
D(E_F) in states/eV/f.u.: 15.49
Magnetic moment in μB/f.u.: 0.00
Energy of formation from the pure elements in eV/f.u.: 0.85
Total energy in eV for the cell shown: -80.01

Compound: Ac4DyHo
Source: Alexandria via LeMat-Bulk
Functional: GGA-PBE
Structure: optimized geometry

a = 7.121 Å, b = 7.121 Å, c = 7.121 Å
α = 60.00°, β = 60.00°, γ = 60.00°
Fractional positions:
Ac 0.125 0.125 0.125
Ac 0.125 0.125 0.625
Ac 0.125 0.625 0.125
Ac 0.625 0.125 0.125
Dy 0.750 0.750 0.750
Ho 0.500 0.500 0.500

## Properties
Energy relative to the lowest polymorph listed for this composition in eV/atom: 0.224
D(E_F) in states/eV/f.u.: 10.95
Magnetic moment in μB/f.u.: 0.00
Energy of formation from the pure elements in eV/f.u.: 2.37
Total energy in eV for the cell shown: -23.25

Compound: Ac2Dy5Ho12
Source: Alexandria via LeMat-Bulk
Functional: GGA-PBE
Structure: optimized geometry

a = 6.771 Å, b = 7.117 Å, c = 13.937 Å
α = 102.94°, β = 95.65°, γ = 104.09°
Fractional positions:
Ac 0.226 0.410 0.481
Ac 0.774 0.590 0.519
Dy 0.116 0.720 0.093
Dy 0.238 0.918 0.479
Dy 0.500 0.500 0.000
Dy 0.762 0.082 0.521
Dy 0.884 0.280 0.907
Ho 0.073 0.003 0.712
Ho 0.093 0.517 0.734
Ho 0.167 0.210 0.110
Ho 0.349 0.948 0.906
Ho 0.457 0.646 0.284
Ho 0.470 0.142 0.306
Ho 0.530 0.858 0.694
Ho 0.543 0.354 0.716
Ho 0.651 0.052 0.094
Ho 0.833 0.790 0.890
Ho 0.907 0.483 0.266
Ho 0.927 0.997 0.288

## Properties
Energy relative to the lowest polymorph listed for this composition in eV/atom: 0.000
D(E_F) in states/eV/f.u.: 30.16
Magnetic moment in μB/f.u.: 0.00
Energy of formation from the pure elements in eV/f.u.: 2.27
Total energy in eV for the cell shown: -83.89

Compound: Ac2Dy15Ho2
Source: Alexandria via LeMat-Bulk
Functional: GGA-PBE
Structure: optimized geometry

a = 8.767 Å, b = 8.767 Å, c = 8.767 Å
α = 79.93°, β = 79.93°, γ = 79.93°
Fractional positions:
Ac 0.113 0.113 0.113
Ac 0.887 0.887 0.887
Dy 0.000 0.000 0.500
Dy 0.000 0.308 0.692
Dy 0.000 0.500 0.000
Dy 0.000 0.692 0.308
Dy 0.157 0.628 0.628
Dy 0.308 0.000 0.692
Dy 0.308 0.692 0.000
Dy 0.372 0.372 0.843
Dy 0.372 0.843 0.372
Dy 0.500 0.000 0.000
Dy 0.628 0.157 0.628
Dy 0.628 0.628 0.157
Dy 0.692 0.000 0.308
Dy 0.692 0.308 0.000
Dy 0.843 0.372 0.372
Ho 0.330 0.330 0.330
Ho 0.670 0.670 0.670

## Properties
D(E_F) in states/eV/f.u.: 32.01
Magnetic moment in μB/f.u.: 0.00
Energy of formation from the pure elements in eV/f.u.: 5.68
Total energy in eV for the cell shown: -80.73

Compound: Ac2Dy8Ho3
Source: Alexandria via LeMat-Bulk
Functional: GGA-PBE
Structure: optimized geometry

a = 11.519 Å, b = 11.519 Å, c = 5.464 Å
α = 90.01°, β = 90.01°, γ = 39.31°
Fractional positions:
Ac 0.239 0.239 0.499
Ac 0.761 0.761 0.501
Dy 0.118 0.118 0.000
Dy 0.185 0.611 0.500
Dy 0.348 0.348 0.000
Dy 0.389 0.815 0.500
Dy 0.611 0.185 0.500
Dy 0.652 0.652 0.000
Dy 0.815 0.389 0.500
Dy 0.882 0.882 0.000
Ho 0.000 0.000 0.500
Ho 0.292 0.708 0.000
Ho 0.708 0.292 0.000

## Properties
D(E_F) in states/eV/f.u.: 22.32
Magnetic moment in μB/f.u.: 0.00
Energy of formation from the pure elements in eV/f.u.: 3.07
Total energy in eV for the cell shown: -55.70

Compound: AcDy6Ho12
Source: Alexandria via LeMat-Bulk
Functional: GGA-PBE
Structure: optimized geometry

a = 9.247 Å, b = 9.247 Å, c = 9.247 Å
α = 107.37°, β = 107.37°, γ = 107.37°
Fractional positions:
Ac 0.000 0.000 0.000
Dy 0.261 0.694 0.694
Dy 0.306 0.306 0.739
Dy 0.306 0.739 0.306
Dy 0.694 0.261 0.694
Dy 0.694 0.694 0.261
Dy 0.739 0.306 0.306
Ho 0.111 0.500 0.889
Ho 0.111 0.889 0.500
Ho 0.163 0.383 0.383
Ho 0.383 0.163 0.383
Ho 0.383 0.383 0.163
Ho 0.500 0.111 0.889
Ho 0.500 0.889 0.111
Ho 0.617 0.617 0.837
Ho 0.617 0.837 0.617
Ho 0.837 0.617 0.617
Ho 0.889 0.111 0.500
Ho 0.889 0.500 0.111

## Properties
D(E_F) in states/eV/f.u.: 23.14
Magnetic moment in μB/f.u.: 0.00
Energy of formation from the pure elements in eV/f.u.: 8.01
Total energy in eV for the cell shown: -78.65

Compound: AcDyHo2
Source: Alexandria via LeMat-Bulk
Functional: GGA-PBE
Structure: optimized geometry

a = 3.564 Å, b = 3.564 Å, c = 37.914 Å
α = 90.00°, β = 90.00°, γ = 120.00°
Fractional positions:
Ac 0.000 0.000 0.000
Ac 0.333 0.667 0.667
Ac 0.667 0.333 0.333
Dy 0.000 0.000 0.500
Dy 0.333 0.667 0.167
Dy 0.667 0.333 0.833
Ho 0.000 0.000 0.093
Ho 0.000 0.000 0.907
Ho 0.333 0.667 0.574
Ho 0.333 0.667 0.759
Ho 0.667 0.333 0.241
Ho 0.667 0.333 0.426

## Properties
Energy relative to the lowest polymorph listed for this composition in eV/atom: 0.141
D(E_F) in states/eV/f.u.: 5.91
Magnetic moment in μB/f.u.: 0.00
Energy of formation from the pure elements in eV/f.u.: 0.76
Total energy in eV for the cell shown: -51.32

Compound: AcDy12Ho6
Source: Alexandria via LeMat-Bulk
Functional: GGA-PBE
Structure: optimized geometry

a = 9.246 Å, b = 9.246 Å, c = 9.246 Å
α = 107.20°, β = 107.20°, γ = 107.20°
Fractional positions:
Ac 0.000 0.000 0.000
Dy 0.111 0.500 0.889
Dy 0.111 0.889 0.500
Dy 0.163 0.384 0.384
Dy 0.384 0.163 0.384
Dy 0.384 0.384 0.163
Dy 0.500 0.111 0.889
Dy 0.500 0.889 0.111
Dy 0.616 0.616 0.837
Dy 0.616 0.837 0.616
Dy 0.837 0.616 0.616
Dy 0.889 0.111 0.500
Dy 0.889 0.500 0.111
Ho 0.264 0.696 0.696
Ho 0.304 0.304 0.736
Ho 0.304 0.736 0.304
Ho 0.696 0.264 0.696
Ho 0.696 0.696 0.264
Ho 0.736 0.304 0.304

## Properties
D(E_F) in states/eV/f.u.: 23.45
Magnetic moment in μB/f.u.: 0.00
Energy of formation from the pure elements in eV/f.u.: 7.93
Total energy in eV for the cell shown: -78.87

Compound: AcDy15Ho4
Source: Alexandria via LeMat-Bulk
Functional: GGA-PBE
Structure: optimized geometry

a = 5.033 Å, b = 5.033 Å, c = 25.176 Å
α = 90.00°, β = 90.00°, γ = 90.00°
Fractional positions:
Ac 0.000 0.000 0.000
Dy 0.000 0.500 0.105
Dy 0.000 0.500 0.303
Dy 0.000 0.500 0.500
Dy 0.000 0.500 0.697
Dy 0.000 0.500 0.895
Dy 0.500 0.000 0.105
Dy 0.500 0.000 0.303
Dy 0.500 0.000 0.500
Dy 0.500 0.000 0.697
Dy 0.500 0.000 0.895
Dy 0.500 0.500 0.000
Dy 0.500 0.500 0.204
Dy 0.500 0.500 0.401
Dy 0.500 0.500 0.599
Dy 0.500 0.500 0.796
Ho 0.000 0.000 0.203
Ho 0.000 0.000 0.401
Ho 0.000 0.000 0.599
Ho 0.000 0.000 0.797

## Properties
D(E_F) in states/eV/f.u.: 27.07
Magnetic moment in μB/f.u.: 0.00
Energy of formation from the pure elements in eV/f.u.: 0.58
Total energy in eV for the cell shown: -90.87

Compound: Ac7Dy2Ho2
Source: Alexandria via LeMat-Bulk
Functional: GGA-PBE
Structure: optimized geometry

a = 8.469 Å, b = 8.469 Å, c = 6.698 Å
α = 96.63°, β = 96.63°, γ = 77.16°
Fractional positions:
Ac 0.000 0.000 0.000
Ac 0.086 0.432 0.251
Ac 0.432 0.086 0.251
Ac 0.453 0.453 0.736
Ac 0.547 0.547 0.264
Ac 0.568 0.914 0.749
Ac 0.914 0.568 0.749
Dy 0.201 0.201 0.714
Dy 0.799 0.799 0.286
Ho 0.173 0.827 0.500
Ho 0.827 0.173 0.500

## Properties
D(E_F) in states/eV/f.u.: 19.45
Magnetic moment in μB/f.u.: 0.00
Energy of formation from the pure elements in eV/f.u.: 2.92
Total energy in eV for the cell shown: -44.20

- Number 10 is which compound?
  AcDy12Ho6